Entry 1:
Density functional theory data (PBE-GGA) for crystalline VCr2HOs at its relaxed geometry.

Output
VASP energy in eV per atom: -8.48
V in Å³ per cell: 53.9
Symmetry: P4/mmm, No. 123
Total magnetic moment in μB per cell: 0.000
Relative energy among the computed polymorphs in meV per atom: 74

a = 3.735 Å, b = 3.864 Å, c = 3.735 Å
α = 90.00°, β = 90.00°, γ = 90.00°
Fractional coordinates of all 5 atoms:
Os 0.000 0.500 0.000
V 0.500 0.500 0.500
H 0.000 0.000 0.000
Cr 0.500 0.000 0.000
Cr 0.000 0.000 0.500


Entry 2:
Density functional theory data (PBE-GGA) for crystalline CrHOsW2 at its relaxed geometry.

Output
VASP energy in eV per atom: -9.83
V in Å³ per cell: 60.9
Symmetry: P4/mmm, No. 123
Total magnetic moment in μB per cell: 0.006
Relative energy among the computed polymorphs in meV per atom: 0

a = 3.981 Å, b = 3.981 Å, c = 3.841 Å
α = 90.00°, β = 90.00°, γ = 90.00°
Fractional coordinates of all 5 atoms:
H 0.000 0.000 0.000
Os 0.500 0.500 0.500
W 0.500 0.000 0.000
W 0.000 0.500 0.000
Cr 0.000 0.000 0.500


Entry 3:
Density functional theory data (PBE-GGA) for crystalline CrHOsW2 at its relaxed geometry.

Output
VASP energy in eV per atom: -7.73
V in Å³ per cell: 89.2
Symmetry: P4/mmm, No. 123
Total magnetic moment in μB per cell: 0.127
Relative energy among the computed polymorphs in meV per atom: 2097

a = 4.498 Å, b = 4.406 Å, c = 4.498 Å
α = 90.00°, β = 90.00°, γ = 90.00°
Each line ends with the local moment (μB).
Fractional coordinates of all 5 atoms:
Cr 0.000 0.000 0.000  0.00
W 0.500 0.000 0.000  -0.05
W 0.000 0.000 0.500  -0.03
H 0.500 0.500 0.500  0.03
Os 0.000 0.500 0.000  0.16


Entry 4:
Density functional theory data (PBE-GGA) for crystalline Cr2HOsW at its relaxed geometry.

Output
VASP energy in eV per atom: -9.20
V in Å³ per cell: 56.5
Symmetry: P4/mmm, No. 123
Total magnetic moment in μB per cell: 0.000
Relative energy among the computed polymorphs in meV per atom: 6

a = 3.844 Å, b = 3.844 Å, c = 3.822 Å
α = 90.00°, β = 90.00°, γ = 90.00°
Fractional coordinates of all 5 atoms:
Cr 0.500 0.000 0.000
Cr 0.000 0.500 0.000
Os 0.000 0.000 0.500
W 0.500 0.500 0.500
H 0.000 0.000 0.000


Entry 5:
Density functional theory data (PBE-GGA) for crystalline CrHOs2W at its relaxed geometry.

Output
VASP energy in eV per atom: -9.56
V in Å³ per cell: 58.9
Symmetry: P4/mmm, No. 123
Total magnetic moment in μB per cell: 0.002

a = 3.903 Å, b = 3.903 Å, c = 3.865 Å
α = 90.00°, β = 90.00°, γ = 90.00°
Fractional coordinates of all 5 atoms:
Os 0.000 0.500 0.000
Os 0.500 0.000 0.000
H 0.000 0.000 0.000
W 0.500 0.500 0.500
Cr 0.000 0.000 0.500


Entry 6:
Density functional theory data (PBE-GGA) for crystalline Cr2HOsW at its relaxed geometry.

Output
VASP energy in eV per atom: -9.20
V in Å³ per cell: 56.5
Symmetry: P4/mmm, No. 123
Total magnetic moment in μB per cell: 0.000
Relative energy among the computed polymorphs in meV per atom: 0

a = 3.808 Å, b = 3.808 Å, c = 3.895 Å
α = 90.00°, β = 90.00°, γ = 90.00°
Fractional coordinates of all 5 atoms:
Cr 0.000 0.500 0.000
Cr 0.500 0.000 0.000
W 0.000 0.000 0.500
H 0.000 0.000 0.000
Os 0.500 0.500 0.500


Entry 7:
Density functional theory data (PBE-GGA) for crystalline ZnCrH2Os at its relaxed geometry.

Output
VASP energy in eV per atom: -4.76
V in Å³ per cell: 56.5
Symmetry: P4/mmm, No. 123
Total magnetic moment in μB per cell: 0.134

a = 3.435 Å, b = 4.787 Å, c = 3.435 Å
α = 90.00°, β = 90.00°, γ = 90.00°
Each line ends with the local moment (μB).
Fractional coordinates of all 5 atoms:
Zn 0.000 0.500 0.000  0.01
H 0.000 0.000 0.500  0.00
H 0.500 0.000 0.000  0.00
Os 0.000 0.000 0.000  0.28
Cr 0.500 0.500 0.500  -0.16


Entry 8:
Density functional theory data (PBE-GGA) for crystalline CrPH2 at its relaxed geometry.

Output
VASP energy in eV per atom: -4.77
V in Å³ per cell: 68.2
Symmetry: I-42d, No. 122
Total magnetic moment in μB per cell: 0.003
Relative energy among the computed polymorphs in meV per atom: 24

a = 4.276 Å, b = 4.276 Å, c = 4.800 Å
α = 63.55°, β = 63.55°, γ = 90.00°
Fractional coordinates of all 8 atoms:
P 0.250 0.750 0.500
P 0.500 0.500 0.000
H 0.682 0.125 0.250
H 0.375 0.318 0.750
H 0.875 0.932 0.750
H 0.068 0.625 0.250
Cr 0.750 0.250 0.500
Cr 0.000 0.000 0.000


Entry 9:
Density functional theory data (PBE-GGA) for crystalline Cr2PH2 at its relaxed geometry.

Output
VASP energy in eV per atom: -6.40
V in Å³ per cell: 39.5
Symmetry: I4/mmm, No. 139
Total magnetic moment in μB per cell: 0.000

a = 2.860 Å, b = 2.860 Å, c = 5.233 Å
α = 74.14°, β = 74.14°, γ = 90.00°
Fractional coordinates of all 5 atoms:
H 0.250 0.750 0.500
H 0.750 0.250 0.500
Cr 0.362 0.362 0.277
Cr 0.638 0.638 0.723
P 0.000 0.000 0.000


Entry 10:
Density functional theory data (PBE-GGA) for crystalline CrP3H at its relaxed geometry.

Output
VASP energy in eV per atom: -5.16
V in Å³ per cell: 61.2
Symmetry: Pm-3m, No. 221
Total magnetic moment in μB per cell: 3.222
Relative energy among the computed polymorphs in meV per atom: 0

a = 3.940 Å, b = 3.940 Å, c = 3.940 Å
α = 90.00°, β = 90.00°, γ = 90.00°
Each line ends with the local moment (μB).
Fractional coordinates of all 5 atoms:
Cr 0.500 0.500 0.500  3.26
H 0.000 0.000 0.000  -0.01
P 0.500 0.000 0.000  -0.07
P 0.000 0.500 0.000  -0.08
P 0.000 0.000 0.500  -0.05


Entry 11:
Density functional theory data (PBE-GGA) for crystalline CrPH at its relaxed geometry.

Output
VASP energy in eV per atom: -5.98
V in Å³ per cell: 60.8
Symmetry: Immm, No. 71
Total magnetic moment in μB per cell: 0.000
Relative energy among the computed polymorphs in meV per atom: 235

a = 2.580 Å, b = 4.522 Å, c = 5.824 Å
α = 112.84°, β = 102.80°, γ = 90.00°
Fractional coordinates of all 6 atoms:
Cr 0.107 0.607 0.213
Cr 0.893 0.393 0.787
P 0.805 0.805 0.611
P 0.195 0.195 0.389
H 0.500 0.694 0.000
H 0.500 0.306 0.000


Entry 12:
Density functional theory data (PBE-GGA) for crystalline Cr3PH at its relaxed geometry.

Output
VASP energy in eV per atom: -7.54
V in Å³ per cell: 48.6
Symmetry: Pm-3m, No. 221
Total magnetic moment in μB per cell: 3.594
Relative energy among the computed polymorphs in meV per atom: 0

a = 3.650 Å, b = 3.650 Å, c = 3.650 Å
α = 90.00°, β = 90.00°, γ = 90.00°
Each line ends with the local moment (μB).
Fractional coordinates of all 5 atoms:
H 0.000 0.000 0.000  -0.01
Cr 0.500 0.000 0.000  1.07
Cr 0.000 0.000 0.500  1.32
Cr 0.000 0.500 0.000  1.02
P 0.500 0.500 0.500  -0.06


Entry 13:
Density functional theory data (PBE-GGA) for crystalline CrP4H2 at its relaxed geometry.

Output
VASP energy in eV per atom: -4.88
V in Å³ per cell: 97.8
Symmetry: I4/mmm, No. 139
Total magnetic moment in μB per cell: 0.000

a = 4.198 Å, b = 4.198 Å, c = 6.295 Å
α = 70.52°, β = 70.52°, γ = 90.00°
Fractional coordinates of all 7 atoms:
Cr 0.000 0.000 0.000
H 0.638 0.638 0.724
H 0.362 0.362 0.276
P 0.770 0.770 0.459
P 0.230 0.230 0.541
P 0.000 0.500 0.000
P 0.500 0.000 0.000


Entry 14:
Density functional theory data (PBE-GGA) for crystalline Cr3PH at its relaxed geometry.

Output
VASP energy in eV per atom: -7.48
V in Å³ per cell: 111.6
Symmetry: P-1, No. 2
Total magnetic moment in μB per cell: 0.000
Relative energy among the computed polymorphs in meV per atom: 62

a = 2.780 Å, b = 6.667 Å, c = 6.211 Å
α = 97.25°, β = 89.92°, γ = 102.23°
Fractional coordinates of all 10 atoms:
P 0.637 0.276 0.342
P 0.363 0.724 0.658
Cr 0.993 0.978 0.837
Cr 0.335 0.654 0.018
Cr 0.188 0.378 0.631
Cr 0.665 0.346 0.982
Cr 0.812 0.622 0.369
Cr 0.007 0.022 0.163
H 0.110 0.237 0.837
H 0.890 0.763 0.163


Entry 15:
Density functional theory data (PBE-GGA) for crystalline CrP3H at its relaxed geometry.

Output
VASP energy in eV per atom: -5.08
V in Å³ per cell: 82.1
Symmetry: Pm-3m, No. 221
Total magnetic moment in μB per cell: 0.000
Relative energy among the computed polymorphs in meV per atom: 83

a = 4.347 Å, b = 4.347 Å, c = 4.347 Å
α = 90.00°, β = 90.00°, γ = 90.00°
Fractional coordinates of all 5 atoms:
P 0.000 0.500 0.000
P 0.500 0.000 0.000
P 0.000 0.000 0.500
H 0.500 0.500 0.500
Cr 0.000 0.000 0.000


Entry 16:
Density functional theory data (PBE-GGA) for crystalline CrPH2 at its relaxed geometry.

Output
VASP energy in eV per atom: -4.79
V in Å³ per cell: 34.6
Symmetry: Fm-3m, No. 225
Total magnetic moment in μB per cell: 3.119
Relative energy among the computed polymorphs in meV per atom: 0

a = 3.658 Å, b = 3.658 Å, c = 3.658 Å
α = 60.00°, β = 60.00°, γ = 60.00°
Each line ends with the local moment (μB).
Fractional coordinates of all 4 atoms:
Cr 0.500 0.500 0.500  3.16
H 0.750 0.750 0.750  -0.03
H 0.250 0.250 0.250  -0.03
P 0.000 0.000 0.000  -0.11


Entry 17:
Density functional theory data (PBE-GGA) for crystalline CrPH at its relaxed geometry.

Output
VASP energy in eV per atom: -6.21
V in Å³ per cell: 81.2
Symmetry: P4/nmm, No. 129
Total magnetic moment in μB per cell: 0.851
Relative energy among the computed polymorphs in meV per atom: 0

a = 3.605 Å, b = 3.605 Å, c = 6.246 Å
α = 90.00°, β = 90.00°, γ = 90.00°
Each line ends with the local moment (μB).
Fractional coordinates of all 6 atoms:
Cr 0.500 0.500 0.500  0.45
Cr 0.000 0.000 0.500  0.45
P 0.000 0.500 0.273  -0.03
P 0.500 0.000 0.727  -0.03
H 0.000 0.500 0.044  0.00
H 0.500 0.000 0.956  0.00


Entry 18:
Density functional theory data (PBE-GGA) for crystalline RbCrPH2 at its relaxed geometry.

Output
VASP energy in eV per atom: -3.20
V in Å³ per cell: 110.7
Symmetry: P4/mmm, No. 123
Total magnetic moment in μB per cell: 6.042

a = 4.179 Å, b = 4.179 Å, c = 6.338 Å
α = 90.00°, β = 90.00°, γ = 90.00°
Each line ends with the local moment (μB).
Fractional coordinates of all 5 atoms:
H 0.000 0.500 0.000  -0.04
H 0.500 0.000 0.000  -0.04
Rb 0.000 0.000 0.500  0.13
Cr 0.500 0.500 0.500  4.54
P 0.000 0.000 0.000  0.20


Entry 19:
Density functional theory data (PBE-GGA) for crystalline CrPHS at its relaxed geometry.

Output
VASP energy in eV per atom: -5.73
V in Å³ per cell: 50.2
Symmetry: Cm, No. 8
Total magnetic moment in μB per cell: 0.000
Relative energy among the computed polymorphs in meV per atom: 281

a = 2.983 Å, b = 4.224 Å, c = 4.513 Å
α = 84.68°, β = 70.73°, γ = 69.35°
Fractional coordinates of all 4 atoms:
Cr 0.358 0.707 0.660
P 0.130 0.591 0.231
S 0.643 0.111 0.687
H 0.317 0.229 0.219


Entry 20:
Density functional theory data (PBE-GGA) for crystalline CrPHS at its relaxed geometry.

Output
VASP energy in eV per atom: -5.63
V in Å³ per cell: 45.9
Symmetry: Pm, No. 6
Total magnetic moment in μB per cell: 0.000
Relative energy among the computed polymorphs in meV per atom: 377

a = 3.138 Å, b = 2.987 Å, c = 4.983 Å
α = 90.00°, β = 100.73°, γ = 90.00°
Fractional coordinates of all 4 atoms:
P 0.895 0.000 0.390
S 0.278 0.000 0.808
Cr 0.317 0.500 0.155
H 0.787 0.500 0.009


Entry 21:
Density functional theory data (PBE-GGA) for crystalline CrPHS at its relaxed geometry.

Output
VASP energy in eV per atom: -5.67
V in Å³ per cell: 48.2
Symmetry: P1, No. 1
Total magnetic moment in μB per cell: 0.000
Relative energy among the computed polymorphs in meV per atom: 344

a = 3.144 Å, b = 4.202 Å, c = 4.363 Å
α = 69.27°, β = 68.84°, γ = 67.96°
Fractional coordinates of all 4 atoms:
P 0.102 0.509 0.572
Cr 0.419 0.453 0.995
H 0.432 0.767 0.658
S 0.078 0.993 0.138


Entry 22:
Density functional theory data (PBE-GGA) for crystalline CrPHS at its relaxed geometry.

Output
VASP energy in eV per atom: -5.70
V in Å³ per cell: 96.9
Symmetry: Cm, No. 8
Total magnetic moment in μB per cell: 0.000
Relative energy among the computed polymorphs in meV per atom: 310

a = 4.810 Å, b = 3.011 Å, c = 7.969 Å
α = 90.00°, β = 122.87°, γ = 90.00°
Fractional coordinates of all 8 atoms:
P 0.079 0.500 0.868
P 0.079 0.000 0.368
Cr 0.663 0.500 0.223
Cr 0.663 0.000 0.723
S 0.565 0.500 0.902
S 0.565 0.000 0.402
H 0.226 0.500 0.092
H 0.226 0.000 0.592


Entry 23:
Density functional theory data (PBE-GGA) for crystalline CrPHS at its relaxed geometry.

Output
VASP energy in eV per atom: -6.01
V in Å³ per cell: 170.8
Symmetry: R3m, No. 160
Total magnetic moment in μB per cell: 0.000
Relative energy among the computed polymorphs in meV per atom: 0

a = 3.120 Å, b = 3.120 Å, c = 20.264 Å
α = 90.00°, β = 90.00°, γ = 120.00°
Fractional coordinates of all 12 atoms:
S 0.333 0.667 0.834
S 0.000 0.000 0.167
S 0.667 0.333 0.501
P 0.333 0.667 0.695
P 0.000 0.000 0.028
P 0.667 0.333 0.362
Cr 0.000 0.000 0.763
Cr 0.667 0.333 0.097
Cr 0.333 0.667 0.430
H 0.667 0.333 0.291
H 0.000 0.000 0.958
H 0.333 0.667 0.625


Entry 24:
Density functional theory data (PBE-GGA) for crystalline CrPHS at its relaxed geometry.

Output
VASP energy in eV per atom: -5.75
V in Å³ per cell: 160.7
Symmetry: R3m, No. 160
Total magnetic moment in μB per cell: 0.000
Relative energy among the computed polymorphs in meV per atom: 264

a = 3.040 Å, b = 3.040 Å, c = 20.086 Å
α = 90.00°, β = 90.00°, γ = 120.00°
Fractional coordinates of all 12 atoms:
H 0.000 0.000 0.760
H 0.333 0.667 0.427
H 0.667 0.333 0.094
S 0.667 0.333 0.527
S 0.333 0.667 0.860
S 0.000 0.000 0.193
Cr 0.000 0.000 0.452
Cr 0.667 0.333 0.786
Cr 0.333 0.667 0.119
P 0.000 0.000 0.035
P 0.667 0.333 0.368
P 0.333 0.667 0.701


Entry 25:
Density functional theory data (PBE-GGA) for crystalline CrPHS at its relaxed geometry.

Output
VASP energy in eV per atom: -5.71
V in Å³ per cell: 112.0
Symmetry: Cm, No. 8
Total magnetic moment in μB per cell: 0.001
Relative energy among the computed polymorphs in meV per atom: 302

a = 3.320 Å, b = 2.861 Å, c = 11.904 Å
α = 90.00°, β = 97.82°, γ = 90.00°
Fractional coordinates of all 8 atoms:
H 0.867 0.000 0.889
H 0.867 0.500 0.389
Cr 0.091 0.000 0.187
Cr 0.091 0.500 0.687
P 0.553 0.500 0.112
P 0.553 0.000 0.612
S 0.211 0.500 0.335
S 0.211 0.000 0.835


Entry 26:
Density functional theory data (PBE-GGA) for crystalline CrPHS at its relaxed geometry.

Output
VASP energy in eV per atom: -5.81
V in Å³ per cell: 59.4
Symmetry: Pm, No. 6
Total magnetic moment in μB per cell: 0.000
Relative energy among the computed polymorphs in meV per atom: 203

a = 2.819 Å, b = 3.060 Å, c = 6.888 Å
α = 90.00°, β = 90.91°, γ = 90.00°
Fractional coordinates of all 4 atoms:
Cr 0.471 0.000 0.267
P 0.977 0.500 0.433
S 0.961 0.000 0.022
H 0.984 0.500 0.641


Entry 27:
Density functional theory data (PBE-GGA) for crystalline CrPHS at its relaxed geometry.

Output
VASP energy in eV per atom: -6.01
V in Å³ per cell: 114.3
Symmetry: Cm, No. 8
Total magnetic moment in μB per cell: 0.000
Relative energy among the computed polymorphs in meV per atom: 0

a = 7.042 Å, b = 3.120 Å, c = 5.400 Å
α = 90.00°, β = 105.58°, γ = 90.00°
Fractional coordinates of all 8 atoms:
H 0.852 0.500 0.171
H 0.852 0.000 0.671
S 0.226 0.000 0.451
S 0.226 0.500 0.951
Cr 0.437 0.000 0.192
Cr 0.437 0.500 0.692
P 0.642 0.500 0.097
P 0.642 0.000 0.597